This record from Alexandria describes an optimized crystal structure of TlBi2Sb. The functional is PBEsol.

The calculation puts the energy at -3.8397 eV per atom. For the density of states at the Fermi level, the calculation gives 2.58 states/eV/cell. The volume is 114 Å³ per cell. For the raw formation energy, the calculation gives 100 meV/atom. The value obtained for the total magnetic moment is 0.0 μB/f.u.

Cell and atoms, written as POSCAR:
```
TlBi2Sb
1.0
5.4387 0.0000 0.0000
2.7193 4.7100 0.0000
2.7193 1.5700 4.4407
Sb Tl Bi
1 1 2
Direct
0.0000 0.0000 0.0000 Sb
0.5000 0.5000 0.5000 Tl
0.2500 0.2500 0.2500 Bi
0.7500 0.7500 0.7500 Bi
```

***

This record from Alexandria describes an optimized crystal structure of CoTcHg2. The functional is PBEsol.

The calculation puts the energy at -4.3068 eV per atom. For the density of states at the Fermi level, the calculation gives 4.74 states/eV/cell. The volume is 65 Å³ per cell. The value obtained for the energy of formation is 0.7275 eV/atom. The calculation puts the polymorph energy (0 for the lowest one) at 110 meV/atom. The value obtained for the total magnetic moment is 2.7 μB/f.u.

Cell and atoms, written as POSCAR:
```
CoTcHg2
1.0
-3.6096 -0.2262 2.6858
0.1714 -2.4039 3.8060
0.0250 2.0949 3.9881
Co Hg Tc
1 2 1
Direct
0.5000 0.5000 0.5000 Co
0.0000 0.0000 0.0000 Hg
0.7500 0.7500 0.7500 Hg
0.2500 0.2500 0.2500 Tc
```

***

This record from Alexandria describes an optimized crystal structure of Ge2RuWI. The functional is PBEsol.

The calculation puts the energy at -6.2191 eV per atom. For the density of states at the Fermi level, the calculation gives 3.16 states/eV/cell. The volume is 109 Å³ per cell. For the raw formation energy, the calculation gives 906 meV/atom. The value obtained for the total magnetic moment is 2.1 μB/f.u.

Cell and atoms, written as POSCAR:
```
Ge2RuWI
1.0
-0.3195 4.1531 2.0602
1.0712 -1.9431 4.0831
4.8911 0.8194 -0.8933
I Ru Ge W
1 1 2 1
Direct
0.5000 0.5000 0.5000 I
0.0000 0.0000 0.0000 Ru
0.0000 0.5000 0.0000 Ge
0.5000 0.0000 0.0000 Ge
0.0000 0.0000 0.5000 W
```

***

This record from Alexandria describes an optimized crystal structure of AlTcOs. The functional is PBEsol.

The calculation puts the energy at -9.3524 eV per atom. For the density of states at the Fermi level, the calculation gives 2.07 states/eV/cell. The volume is 42 Å³ per cell. The value obtained for the energy of formation is -0.1611 eV/atom. The calculation puts the polymorph energy (0 for the lowest one) at 164 meV/atom. The value obtained for the total magnetic moment is 0.0 μB/f.u.

Cell and atoms, written as POSCAR:
```
AlTcOs
1.0
2.8004 0.0000 0.0000
0.0000 3.7368 0.0000
-1.4002 -1.8684 3.9819
Os Tc Al
1 1 1
Direct
0.6673 0.6673 0.3346 Os
0.3316 0.3316 0.6632 Tc
0.0011 0.0011 0.0022 Al
```

***

This record from Alexandria describes an optimized crystal structure of GaPt. The functional is PBEsol.

The calculation puts the energy at -5.8172 eV per atom. For the density of states at the Fermi level, the calculation gives 2.36 states/eV/cell. The volume is 118 Å³ per cell. The value obtained for the energy of formation is -0.6656 eV/atom. The value obtained for the total magnetic moment is 0.0 μB/f.u.

Cell and atoms, written as POSCAR:
```
GaPt
1.0
-0.9724 -0.8877 4.7190
-1.7363 -4.4240 -1.1900
4.4769 -1.9086 0.5635
Ga Pt
4 4
Direct
0.6567 0.1567 0.3433 Ga
0.1567 0.3433 0.6567 Ga
0.3433 0.6567 0.1567 Ga
0.8433 0.8433 0.8433 Ga
0.3516 0.8516 0.6484 Pt
0.8516 0.6484 0.3516 Pt
0.6484 0.3516 0.8516 Pt
0.1484 0.1484 0.1484 Pt
```

***

This record from Alexandria describes an optimized crystal structure of CrPb2Se. The functional is PBEsol.

The calculation puts the energy at -5.4794 eV per atom. For the density of states at the Fermi level, the calculation gives 2.36 states/eV/cell. The volume is 93 Å³ per cell. For the raw formation energy, the calculation gives 43 meV/atom. The value obtained for the total magnetic moment is 3.3 μB/f.u.

Cell and atoms, written as POSCAR:
```
CrPb2Se
1.0
3.3060 0.0000 0.0000
0.0000 3.3060 0.0000
0.0000 0.0000 8.4707
Cr Pb Se
1 2 1
Direct
0.5000 0.5000 0.6957 Cr
0.0000 0.0000 0.9558 Pb
0.5000 0.5000 0.2711 Pb
0.0000 0.0000 0.5773 Se
```

***

This record from Alexandria describes an optimized crystal structure of YI3Cl. The functional is PBEsol.

The calculation puts the energy at -3.5902 eV per atom. For the density of states at the Fermi level, the calculation gives 9.90 states/eV/cell. The volume is 203 Å³ per cell. For the raw formation energy, the calculation gives -764 meV/atom. The value obtained for the total magnetic moment is 1.0 μB/f.u.

Cell and atoms, written as POSCAR:
```
YI3Cl
1.0
-0.1532 -4.1801 -4.1261
5.1528 -2.0766 1.9124
-2.8189 -3.5688 3.7201
I Y Cl
3 1 1
Direct
0.0000 0.5000 0.0000 I
0.0000 0.0000 0.5000 I
0.5000 0.0000 0.0000 I
0.0000 0.0000 0.0000 Y
0.5000 0.5000 0.5000 Cl
```

***

This record from Alexandria describes an optimized crystal structure of Ti3TeAs. The functional is PBEsol.

The calculation puts the energy at -6.6762 eV per atom. For the density of states at the Fermi level, the calculation gives 8.03 states/eV/cell. The volume is 103 Å³ per cell. For the raw formation energy, the calculation gives 44 meV/atom. The value obtained for the total magnetic moment is 2.4 μB/f.u.

Cell and atoms, written as POSCAR:
```
Ti3TeAs
1.0
4.6950 0.0000 0.0000
0.0000 4.6950 0.0000
0.0000 0.0000 4.6950
As Te Ti
1 1 3
Direct
0.0000 0.0000 0.0000 As
0.5000 0.5000 0.5000 Te
0.0000 0.5000 0.0000 Ti
0.0000 0.0000 0.5000 Ti
0.5000 0.0000 0.0000 Ti
```

***

This record from Alexandria describes an optimized crystal structure of BaCrF5. The functional is PBEsol.

The calculation puts the energy at -6.3649 eV per atom. For the density of states at the Fermi level, the calculation gives 0.00 states/eV/cell. The volume is 385 Å³ per cell. For the raw formation energy, the calculation gives -3218 meV/atom. The value obtained for the total magnetic moment is 3.0 μB/f.u.

Cell and atoms, written as POSCAR:
```
BaCrF5
1.0
4.8999 0.0000 0.0000
0.0000 5.6756 0.0000
0.0000 0.0000 13.8590
Ba Cr F
4 4 20
Direct
0.7261 0.6598 0.6583 Ba
0.2261 0.8402 0.3417 Ba
0.2739 0.1598 0.8417 Ba
0.7739 0.3402 0.1583 Ba
0.3255 0.1473 0.5843 Cr
0.8255 0.3527 0.4157 Cr
0.6745 0.6473 0.9157 Cr
0.1745 0.8527 0.0843 Cr
0.9739 0.6049 0.4862 F
0.4739 0.8951 0.5138 F
0.0261 0.1049 0.0138 F
0.5261 0.3951 0.9862 F
0.6711 0.5729 0.3293 F
0.1711 0.9271 0.6707 F
0.3289 0.0729 0.1707 F
0.8289 0.4271 0.8293 F
0.1930 0.4007 0.6613 F
0.6930 0.0993 0.3387 F
0.8070 0.9007 0.8387 F
0.3070 0.5993 0.1613 F
0.6254 0.1514 0.6691 F
0.1254 0.3486 0.3309 F
0.3746 0.6514 0.8309 F
0.8746 0.8486 0.1691 F
0.5120 0.3722 0.5020 F
0.0120 0.1278 0.4980 F
0.4880 0.8722 0.9980 F
0.9880 0.6278 0.0020 F
```

***

This record from Alexandria describes an optimized crystal structure of KGa2FeSn. The functional is PBEsol.

The calculation puts the energy at -4.2902 eV per atom. For the density of states at the Fermi level, the calculation gives 1.99 states/eV/cell. The volume is 106 Å³ per cell. The value obtained for the energy of formation is -0.0831 eV/atom. The value obtained for the total magnetic moment is 0.9 μB/f.u.

Cell and atoms, written as POSCAR:
```
KGa2FeSn
1.0
4.6765 0.0000 0.0000
0.0000 4.6765 0.0000
0.0000 0.0000 4.8680
K Sn Ga Fe
1 1 2 1
Direct
0.5000 0.5000 0.5000 K
0.0000 0.0000 0.5000 Sn
0.0000 0.5000 0.0000 Ga
0.5000 0.0000 0.0000 Ga
0.0000 0.0000 0.0000 Fe
```

***

This record from Alexandria describes an optimized crystal structure of CaLa2FeO6. The functional is PBEsol.

The calculation puts the energy at -8.0269 eV per atom. For the density of states at the Fermi level, the calculation gives 0.70 states/eV/cell. The volume is 131 Å³ per cell. For the raw formation energy, the calculation gives -2698 meV/atom. The value obtained for the total magnetic moment is 4.0 μB/f.u.

Cell and atoms, written as POSCAR:
```
CaLa2FeO6
1.0
-2.8128 -4.6735 -0.1004
4.7551 0.2389 2.9895
-4.4890 2.6655 2.2036
Ca La Fe O
1 2 1 6
Direct
0.5000 0.0000 0.5000 Ca
0.7420 0.4822 0.2284 La
0.2580 0.5178 0.7716 La
0.0000 0.0000 0.0000 Fe
0.7611 0.5203 0.6470 O
0.1693 0.8718 0.1569 O
0.2990 0.1268 0.8448 O
0.2389 0.4797 0.3530 O
0.7010 0.8732 0.1552 O
0.8307 0.1282 0.8431 O
```